Arrangement a

! RbBi2Br, relaxed, DFT PBE-GGA; values from VASP
! Calculated volume: 180 Å³/f.u.
&SYSTEM
  ibrav = 0, nat = 16, ntyp = 3
/
ATOMIC_SPECIES
Rb 85.47 Rb.upf
Bi 208.98 Bi.upf
Br 79.90 Br.upf
ATOMIC_POSITIONS crystal
Rb 0.000 0.000 0.000
Rb 0.000 0.500 0.250
Rb 0.500 0.000 0.750
Rb 0.500 0.500 0.500
Bi 0.210 0.750 0.625
Bi 0.250 0.210 0.375
Bi 0.250 0.290 0.875
Bi 0.290 0.750 0.125
Bi 0.710 0.250 0.125
Bi 0.750 0.710 0.875
Bi 0.750 0.790 0.375
Bi 0.790 0.250 0.625
Br 0.000 0.000 0.500
Br 0.000 0.500 0.750
Br 0.500 0.000 0.250
Br 0.500 0.500 0.000
CELL_PARAMETERS angstrom
10.958 0.000 0.000
0.000 10.958 0.000
0.000 0.000 6.002

=====

Arrangement b

! RbBi2Br, relaxed, DFT PBE-GGA; values from VASP
! Calculated volume: 141 Å³/f.u.
&SYSTEM
  ibrav = 0, nat = 16, ntyp = 3
/
ATOMIC_SPECIES
Rb 85.47 Rb.upf
Bi 208.98 Bi.upf
Br 79.90 Br.upf
ATOMIC_POSITIONS crystal
Rb 0.000 0.000 0.000
Rb 0.000 0.500 0.500
Rb 0.500 0.000 0.500
Rb 0.500 0.500 0.000
Bi 0.250 0.250 0.250
Bi 0.250 0.250 0.750
Bi 0.250 0.750 0.250
Bi 0.250 0.750 0.750
Bi 0.750 0.250 0.250
Bi 0.750 0.250 0.750
Bi 0.750 0.750 0.250
Bi 0.750 0.750 0.750
Br 0.000 0.000 0.500
Br 0.000 0.500 0.000
Br 0.500 0.000 0.000
Br 0.500 0.500 0.500
CELL_PARAMETERS angstrom
8.256 0.000 0.000
0.000 8.256 0.000
0.000 0.000 8.256

=====

Going by the computed energies, the most stable comes first: arrangement a, arrangement b.

=====

Arrangement a

! Rb3BiBr6, relaxed, DFT PBE-GGA; values from VASP
! Calculated volume: 457 Å³/f.u.
&SYSTEM
  ibrav = 0, nat = 10, ntyp = 3
/
ATOMIC_SPECIES
Rb 85.47 Rb.upf
Bi 208.98 Bi.upf
Br 79.90 Br.upf
ATOMIC_POSITIONS crystal
Rb 0.000 0.000 0.000
Rb 0.250 0.250 0.250
Rb 0.750 0.750 0.750
Bi 0.500 0.500 0.500
Br 0.266 0.266 0.734
Br 0.266 0.734 0.266
Br 0.266 0.734 0.734
Br 0.734 0.266 0.266
Br 0.734 0.266 0.734
Br 0.734 0.734 0.266
CELL_PARAMETERS angstrom
0.000 6.114 6.114
6.114 0.000 6.114
6.114 6.114 0.000

=====

Arrangement b

! Rb3BiBr6, relaxed, DFT PBE-GGA; values from VASP
! Calculated volume: 421 Å³/f.u.
&SYSTEM
  ibrav = 0, nat = 20, ntyp = 3
/
ATOMIC_SPECIES
Rb 85.47 Rb.upf
Bi 208.98 Bi.upf
Br 79.90 Br.upf
ATOMIC_POSITIONS crystal
Rb 0.000 0.000 0.000
Rb 0.000 0.500 0.500
Rb 0.216 0.077 0.745
Rb 0.216 0.423 0.245
Rb 0.784 0.577 0.755
Rb 0.784 0.923 0.255
Bi 0.500 0.000 0.500
Bi 0.500 0.500 0.000
Br 0.159 0.177 0.444
Br 0.159 0.323 0.944
Br 0.260 0.725 0.425
Br 0.260 0.775 0.925
Br 0.401 0.055 0.273
Br 0.401 0.445 0.773
Br 0.599 0.555 0.227
Br 0.599 0.945 0.727
Br 0.740 0.225 0.075
Br 0.740 0.275 0.575
Br 0.841 0.677 0.056
Br 0.841 0.823 0.556
CELL_PARAMETERS angstrom
8.185 0.000 0.000
0.000 8.761 0.000
-8.002 0.000 11.751

=====

Going by the computed energies, the most stable comes first: arrangement b, arrangement a.

=====

Arrangement a

! Rb3Bi2Br9, relaxed, DFT PBE-GGA; values from VASP
! Calculated volume: 569 Å³/f.u.
&SYSTEM
  ibrav = 0, nat = 56, ntyp = 3
/
ATOMIC_SPECIES
Rb 85.47 Rb.upf
Bi 208.98 Bi.upf
Br 79.90 Br.upf
ATOMIC_POSITIONS crystal
Rb 0.069 0.082 0.322
Rb 0.069 0.418 0.822
Rb 0.264 0.567 0.496
Rb 0.264 0.933 0.996
Rb 0.421 0.079 0.655
Rb 0.421 0.421 0.155
Rb 0.579 0.579 0.845
Rb 0.579 0.921 0.345
Rb 0.736 0.067 0.004
Rb 0.736 0.433 0.504
Rb 0.931 0.582 0.178
Rb 0.931 0.918 0.678
Bi 0.164 0.508 0.166
Bi 0.164 0.992 0.666
Bi 0.337 0.004 0.327
Bi 0.337 0.496 0.827
Bi 0.663 0.504 0.173
Bi 0.663 0.996 0.673
Bi 0.836 0.008 0.334
Bi 0.836 0.492 0.834
Br 0.058 0.182 0.597
Br 0.058 0.318 0.097
Br 0.094 0.712 0.632
Br 0.094 0.788 0.132
Br 0.117 0.015 0.853
Br 0.117 0.485 0.353
Br 0.214 0.530 0.957
Br 0.214 0.970 0.457
Br 0.251 0.203 0.189
Br 0.251 0.297 0.689
Br 0.290 0.693 0.228
Br 0.290 0.807 0.728
Br 0.385 0.222 0.915
Br 0.385 0.278 0.415
Br 0.413 0.685 0.952
Br 0.413 0.815 0.452
Br 0.439 0.008 0.189
Br 0.439 0.492 0.689
Br 0.561 0.508 0.311
Br 0.561 0.992 0.811
Br 0.587 0.185 0.548
Br 0.587 0.315 0.048
Br 0.615 0.722 0.585
Br 0.615 0.778 0.085
Br 0.710 0.193 0.272
Br 0.710 0.307 0.772
Br 0.749 0.703 0.311
Br 0.749 0.797 0.811
Br 0.786 0.030 0.543
Br 0.786 0.470 0.043
Br 0.883 0.515 0.647
Br 0.883 0.985 0.147
Br 0.906 0.212 0.868
Br 0.906 0.288 0.368
Br 0.942 0.682 0.903
Br 0.942 0.818 0.403
CELL_PARAMETERS angstrom
19.662 0.000 0.000
0.000 8.405 0.000
-0.112 0.000 13.775

=====

Arrangement b

! Rb3Bi2Br9, relaxed, DFT PBE-GGA; values from VASP
! Calculated volume: 554 Å³/f.u.
&SYSTEM
  ibrav = 0, nat = 28, ntyp = 3
/
ATOMIC_SPECIES
Rb 85.47 Rb.upf
Bi 208.98 Bi.upf
Br 79.90 Br.upf
ATOMIC_POSITIONS crystal
Rb 0.076 0.750 0.424
Rb 0.250 0.576 0.924
Rb 0.424 0.076 0.750
Rb 0.576 0.924 0.250
Rb 0.750 0.424 0.076
Rb 0.924 0.250 0.576
Bi 0.152 0.152 0.152
Bi 0.348 0.348 0.348
Bi 0.652 0.652 0.652
Bi 0.848 0.848 0.848
Br 0.081 0.266 0.912
Br 0.083 0.417 0.250
Br 0.088 0.919 0.734
Br 0.234 0.419 0.588
Br 0.250 0.083 0.417
Br 0.266 0.912 0.081
Br 0.412 0.766 0.581
Br 0.417 0.250 0.083
Br 0.419 0.588 0.234
Br 0.581 0.412 0.766
Br 0.583 0.750 0.917
Br 0.588 0.234 0.419
Br 0.734 0.088 0.919
Br 0.750 0.917 0.583
Br 0.766 0.581 0.412
Br 0.912 0.081 0.266
Br 0.917 0.583 0.750
Br 0.919 0.734 0.088
CELL_PARAMETERS angstrom
6.886 3.975 6.740
-6.886 3.975 6.740
0.000 -7.951 6.740

=====

Going by the computed energies, the most stable comes first: arrangement a, arrangement b.

=====

Arrangement a

! Rb2BiBr4, relaxed, DFT PBE-GGA; values from VASP
! Calculated volume: 301 Å³/f.u.
&SYSTEM
  ibrav = 0, nat = 14, ntyp = 3
/
ATOMIC_SPECIES
Rb 85.47 Rb.upf
Bi 208.98 Bi.upf
Br 79.90 Br.upf
ATOMIC_POSITIONS crystal
Rb 0.000 0.500 0.250
Rb 0.000 0.500 0.750
Rb 0.500 0.000 0.250
Rb 0.500 0.000 0.750
Bi 0.000 0.000 0.000
Bi 0.500 0.500 0.500
Br 0.249 0.249 0.000
Br 0.249 0.751 0.000
Br 0.251 0.251 0.500
Br 0.251 0.749 0.500
Br 0.749 0.251 0.500
Br 0.749 0.749 0.500
Br 0.751 0.249 0.000
Br 0.751 0.751 0.000
CELL_PARAMETERS angstrom
8.203 0.000 0.000
0.000 8.203 0.000
0.000 0.000 8.958

=====

Arrangement b

! Rb2BiBr4, relaxed, DFT PBE-GGA; values from VASP
! Calculated volume: 311 Å³/f.u.
&SYSTEM
  ibrav = 0, nat = 14, ntyp = 3
/
ATOMIC_SPECIES
Rb 85.47 Rb.upf
Bi 208.98 Bi.upf
Br 79.90 Br.upf
ATOMIC_POSITIONS crystal
Rb 0.000 0.000 0.132
Rb 0.000 0.000 0.868
Rb 0.500 0.500 0.368
Rb 0.500 0.500 0.632
Bi 0.000 0.000 0.500
Bi 0.500 0.500 0.000
Br 0.000 0.000 0.330
Br 0.000 0.000 0.670
Br 0.000 0.500 0.000
Br 0.000 0.500 0.500
Br 0.500 0.000 0.000
Br 0.500 0.000 0.500
Br 0.500 0.500 0.170
Br 0.500 0.500 0.830
CELL_PARAMETERS angstrom
6.028 0.000 0.000
0.000 6.028 0.000
0.000 0.000 17.102

=====

Going by the computed energies, the most stable comes first: arrangement a, arrangement b.

=====

Arrangement a

! RbBiSe2Br, relaxed, DFT PBE-GGA; values from VASP
! Calculated volume: 215 Å³/f.u.
&SYSTEM
  ibrav = 0, nat = 5, ntyp = 4
/
ATOMIC_SPECIES
Rb 85.47 Rb.upf
Bi 208.98 Bi.upf
Se 78.96 Se.upf
Br 79.90 Br.upf
ATOMIC_POSITIONS crystal
Rb 0.000 0.000 0.000
Bi 0.500 0.500 0.500
Se 0.000 0.500 0.000
Se 0.500 0.000 0.000
Br 0.000 0.000 0.500
CELL_PARAMETERS angstrom
6.021 0.000 0.000
0.000 6.021 0.000
0.000 0.000 5.929

=====

Arrangement b

! RbBiSe2Br, relaxed, DFT PBE-GGA; values from VASP
! Calculated volume: 183 Å³/f.u.
&SYSTEM
  ibrav = 0, nat = 5, ntyp = 4
/
ATOMIC_SPECIES
Rb 85.47 Rb.upf
Bi 208.98 Bi.upf
Se 78.96 Se.upf
Br 79.90 Br.upf
ATOMIC_POSITIONS crystal
Rb 0.000 0.000 0.000
Bi 0.500 0.500 0.500
Se 0.000 0.500 0.500
Se 0.500 0.000 0.500
Br 0.500 0.500 0.000
CELL_PARAMETERS angstrom
5.545 0.000 0.000
0.000 5.545 0.000
0.000 0.000 5.958

=====

Going by the computed energies, the most stable comes first: arrangement b, arrangement a.

=====

Arrangement a

! RbBiSeBr2, relaxed, DFT PBE-GGA; values from VASP
! Calculated volume: 211 Å³/f.u.
&SYSTEM
  ibrav = 0, nat = 5, ntyp = 4
/
ATOMIC_SPECIES
Rb 85.47 Rb.upf
Bi 208.98 Bi.upf
Se 78.96 Se.upf
Br 79.90 Br.upf
ATOMIC_POSITIONS crystal
Rb 0.000 0.000 0.000
Bi 0.500 0.500 0.500
Se 0.000 0.000 0.500
Br 0.000 0.500 0.000
Br 0.500 0.000 0.000
CELL_PARAMETERS angstrom
5.944 0.000 0.000
0.000 5.944 0.000
0.000 0.000 5.966

=====

Arrangement b

! RbBiSeBr2, relaxed, DFT PBE-GGA; values from VASP
! Calculated volume: 193 Å³/f.u.
&SYSTEM
  ibrav = 0, nat = 5, ntyp = 4
/
ATOMIC_SPECIES
Rb 85.47 Rb.upf
Bi 208.98 Bi.upf
Se 78.96 Se.upf
Br 79.90 Br.upf
ATOMIC_POSITIONS crystal
Rb 0.000 0.000 0.000
Bi 0.500 0.500 0.500
Se 0.500 0.500 0.000
Br 0.000 0.500 0.500
Br 0.500 0.000 0.500
CELL_PARAMETERS angstrom
5.898 0.000 0.000
0.000 5.898 0.000
0.000 0.000 5.561

=====

Going by the computed energies, the most stable comes first: arrangement b, arrangement a.